Entry 1:
Compound: Cd2AgPt
Source: Alexandria via LeMat-Bulk
Functional: GGA-PBEsol
Structure: optimized geometry

## Properties
calculated total energy: -3.344 eV per atom
DOS(E_F): 2.537 states/eV per cell
space-group type: I-4m2
spin magnetization: 0.000 μB/f.u.

The structure in POSCAR format:
```
Cd2AgPt
1.0
4.011 0.000 0.000
0.000 4.011 0.000
0.000 0.000 8.586
Cd Ag Pt
4 2 2
direct
0.000 0.000 0.000
0.000 0.500 0.250
0.500 0.000 0.750
0.500 0.500 0.500
0.000 0.500 0.750
0.500 0.000 0.250
0.000 0.000 0.500
0.500 0.500 0.000
```



Entry 2:
Compound: Cd2AgPt
Source: Alexandria via LeMat-Bulk
Functional: GGA-PBEsol
Structure: optimized geometry

## Properties
calculated total energy: -3.359 eV per atom
DOS(E_F): 1.238 states/eV per cell
space-group type: Pmm2
spin magnetization: 0.000 μB/f.u.

The structure in POSCAR format:
```
Cd2AgPt
1.0
2.934 0.000 0.000
0.000 4.758 0.000
0.000 0.000 4.938
Cd Ag Pt
2 1 1
direct
0.000 0.000 0.000
0.000 0.500 0.379
0.500 0.000 0.511
0.500 0.500 0.874
```



Entry 3:
Compound: CdAg2Pt
Source: Alexandria via LeMat-Bulk
Functional: GGA-PBEsol
Structure: optimized geometry

## Properties
calculated total energy: -3.787 eV per atom
DOS(E_F): 4.298 states/eV per cell
space-group type: F-43m
spin magnetization: 0.000 μB/f.u.

The structure in POSCAR format:
```
CdAg2Pt
1.0
6.441 0.000 0.000
0.000 6.441 0.000
0.000 0.000 6.441
Cd Ag Pt
4 8 4
direct
0.000 0.000 0.000
0.000 0.500 0.500
0.500 0.000 0.500
0.500 0.500 0.000
0.000 0.000 0.500
0.000 0.500 0.000
0.250 0.250 0.250
0.250 0.750 0.750
0.500 0.000 0.000
0.500 0.500 0.500
0.750 0.250 0.750
0.750 0.750 0.250
0.250 0.250 0.750
0.250 0.750 0.250
0.750 0.250 0.250
0.750 0.750 0.750
```



Entry 4:
Compound: CdAgPt2
Source: Alexandria via LeMat-Bulk
Functional: GGA-PBEsol
Structure: optimized geometry

## Properties
calculated total energy: -4.711 eV per atom
DOS(E_F): 4.631 states/eV per cell
space-group type: I-4m2
spin magnetization: 0.000 μB/f.u.

The structure in POSCAR format:
```
CdAgPt2
1.0
4.083 0.000 0.000
0.000 4.083 0.000
0.000 0.000 7.764
Cd Ag Pt
2 2 4
direct
0.000 0.000 0.000
0.500 0.500 0.500
0.000 0.500 0.750
0.500 0.000 0.250
0.000 0.000 0.500
0.000 0.500 0.250
0.500 0.000 0.750
0.500 0.500 0.000
```



Entry 5:
Compound: Cd2AgPt
Source: Alexandria via LeMat-Bulk
Functional: GGA-PBEsol
Structure: optimized geometry

## Properties
calculated total energy: -3.356 eV per atom
DOS(E_F): 1.248 states/eV per cell
space-group type: P4/mmm
spin magnetization: 0.000 μB/f.u.

The structure in POSCAR format:
```
Cd2AgPt
1.0
2.965 0.000 0.000
0.000 2.965 0.000
0.000 0.000 7.884
Cd Ag Pt
2 1 1
direct
0.000 0.000 0.240
0.000 0.000 0.760
0.500 0.500 0.500
0.500 0.500 0.000
```



Entry 6:
Compound: CdAgPt2
Source: Alexandria via LeMat-Bulk
Functional: GGA-PBEsol
Structure: optimized geometry

## Properties
calculated total energy: -4.728 eV per atom
DOS(E_F): 3.510 states/eV per cell
space-group type: Cm
spin magnetization: 0.000 μB/f.u.

The structure in POSCAR format:
```
CdAgPt2
1.0
9.374 0.000 0.000
0.000 2.834 0.000
-0.853 0.000 4.868
Cd Ag Pt
2 2 4
direct
0.000 0.000 0.000
0.500 0.500 0.000
0.258 0.500 0.259
0.758 0.000 0.259
0.009 0.500 0.506
0.250 0.000 0.749
0.509 0.000 0.506
0.750 0.500 0.749
```



Entry 7:
Compound: CdAgPt2
Source: Alexandria via LeMat-Bulk
Functional: GGA-PBEsol
Structure: optimized geometry

## Properties
calculated total energy: -4.709 eV per atom
DOS(E_F): 4.053 states/eV per cell
space-group type: C2/m
spin magnetization: 0.000 μB/f.u.

The structure in POSCAR format:
```
CdAgPt2
1.0
4.906 0.000 0.000
0.000 2.836 0.000
-1.654 0.000 9.243
Cd Ag Pt
2 2 4
direct
0.000 0.000 0.000
0.500 0.500 0.000
0.000 0.500 0.500
0.500 0.000 0.500
0.250 0.000 0.750
0.250 0.500 0.250
0.750 0.000 0.250
0.750 0.500 0.750
```



Entry 8:
Compound: CdAgPt
Source: Alexandria via LeMat-Bulk
Functional: GGA-PBEsol
Structure: optimized geometry

## Properties
calculated total energy: -3.934 eV per atom
DOS(E_F): 0.917 states/eV per cell
excess energy over the best structure of this formula in the dataset: 45 meV/atom
space-group type: P3m1
spin magnetization: 0.000 μB/f.u.

The structure in POSCAR format:
```
CdAgPt
1.0
4.513 0.000 0.000
-2.257 3.909 0.000
0.000 0.000 2.844
Cd Ag Pt
1 1 1
direct
0.000 0.000 0.000
0.667 0.333 0.322
0.333 0.667 0.661
```



Entry 9:
Compound: Cd2AgPt
Source: Alexandria via LeMat-Bulk
Functional: GGA-PBEsol
Structure: optimized geometry

## Properties
calculated total energy: -3.354 eV per atom
DOS(E_F): 2.295 states/eV per cell
space-group type: Cmmm
spin magnetization: 0.000 μB/f.u.

The structure in POSCAR format:
```
Cd2AgPt
1.0
6.027 0.000 0.000
0.000 7.772 0.000
0.000 0.000 2.940
Cd Ag Pt
4 2 2
direct
0.250 0.250 0.000
0.250 0.750 0.000
0.750 0.250 0.000
0.750 0.750 0.000
0.000 0.000 0.500
0.500 0.500 0.500
0.000 0.500 0.500
0.500 0.000 0.500
```



Entry 10:
Compound: CdAgPt2
Source: Alexandria via LeMat-Bulk
Functional: GGA-PBEsol
Structure: optimized geometry

## Properties
calculated total energy: -4.674 eV per atom
DOS(E_F): 6.154 states/eV per cell
space-group type: F-43m
spin magnetization: 0.000 μB/f.u.

The structure in POSCAR format:
```
CdAgPt2
1.0
6.382 0.000 0.000
0.000 6.382 0.000
0.000 0.000 6.382
Cd Ag Pt
4 4 8
direct
0.000 0.000 0.000
0.000 0.500 0.500
0.500 0.000 0.500
0.500 0.500 0.000
0.250 0.250 0.250
0.250 0.750 0.750
0.750 0.250 0.750
0.750 0.750 0.250
0.000 0.000 0.500
0.000 0.500 0.000
0.250 0.250 0.750
0.250 0.750 0.250
0.500 0.000 0.000
0.500 0.500 0.500
0.750 0.250 0.250
0.750 0.750 0.750
```



Entry 11:
Compound: Cd2AgPt
Source: Alexandria via LeMat-Bulk
Functional: GGA-PBEsol
Structure: optimized geometry

## Properties
calculated total energy: -3.336 eV per atom
DOS(E_F): 2.279 states/eV per cell
space-group type: Cm
spin magnetization: 0.000 μB/f.u.

The structure in POSCAR format:
```
Cd2AgPt
1.0
10.442 0.000 0.000
0.000 2.936 0.000
-1.890 0.000 4.522
Cd Ag Pt
4 2 2
direct
0.000 0.000 0.000
0.236 0.000 0.600
0.500 0.500 0.000
0.736 0.500 0.600
0.483 0.000 0.487
0.983 0.500 0.487
0.245 0.500 0.100
0.745 0.000 0.100
```



Entry 12:
Compound: CdAg2Pt
Source: Alexandria via LeMat-Bulk
Functional: GGA-PBEsol
Structure: optimized geometry

## Properties
calculated total energy: -3.812 eV per atom
DOS(E_F): 0.994 states/eV per cell
space-group type: Pmm2
spin magnetization: 0.000 μB/f.u.

The structure in POSCAR format:
```
CdAg2Pt
1.0
2.891 0.000 0.000
0.000 4.003 0.000
0.000 0.000 5.735
Cd Ag Pt
1 2 1
direct
0.000 0.000 0.000
0.000 0.000 0.492
0.500 0.500 0.734
0.500 0.500 0.239
```



Entry 13:
Compound: CdAgPt2
Source: Alexandria via LeMat-Bulk
Functional: GGA-PBEsol
Structure: optimized geometry

## Properties
calculated total energy: -4.676 eV per atom
DOS(E_F): 3.971 states/eV per cell
space-group type: Imm2
spin magnetization: 0.000 μB/f.u.

The structure in POSCAR format:
```
CdAgPt2
1.0
2.843 0.000 0.000
0.000 4.782 0.000
0.000 0.000 9.648
Cd Ag Pt
2 2 4
direct
0.000 0.000 0.000
0.500 0.500 0.500
0.000 0.500 0.238
0.500 0.000 0.738
0.000 0.000 0.487
0.000 0.500 0.749
0.500 0.000 0.249
0.500 0.500 0.987
```



Entry 14:
Compound: CdAg2Pt
Source: Alexandria via LeMat-Bulk
Functional: GGA-PBEsol
Structure: optimized geometry

## Properties
calculated total energy: -3.760 eV per atom
DOS(E_F): 1.216 states/eV per cell
space-group type: P2/m
spin magnetization: 0.000 μB/f.u.

The structure in POSCAR format:
```
CdAg2Pt
1.0
2.854 0.000 0.000
0.000 4.806 0.000
-0.244 0.000 4.895
Cd Ag Pt
1 2 1
direct
0.000 0.000 0.000
0.254 0.500 0.746
0.746 0.500 0.254
0.500 0.000 0.500
```



Entry 15:
Compound: CdAgPt2
Source: Alexandria via LeMat-Bulk
Functional: GGA-PBEsol
Structure: optimized geometry

## Properties
calculated total energy: -4.734 eV per atom
DOS(E_F): 1.308 states/eV per cell
space-group type: P4/mmm
spin magnetization: 0.000 μB/f.u.

The structure in POSCAR format:
```
CdAgPt2
1.0
2.862 0.000 0.000
0.000 2.862 0.000
0.000 0.000 7.873
Cd Ag Pt
1 1 2
direct
0.000 0.000 0.000
0.000 0.000 0.500
0.500 0.500 0.251
0.500 0.500 0.749
```



Entry 16:
Compound: CdAgPt
Source: Alexandria via LeMat-Bulk
Functional: GGA-PBEsol
Structure: optimized geometry

## Properties
calculated total energy: -3.951 eV per atom
DOS(E_F): 1.934 states/eV per cell
excess energy over the best structure of this formula in the dataset: 28 meV/atom
space-group type: I4mm
spin magnetization: 0.000 μB/f.u.

The structure in POSCAR format:
```
CdAgPt
1.0
2.911 0.000 0.000
0.000 2.911 0.000
0.000 0.000 11.799
Cd Ag Pt
2 2 2
direct
0.000 0.000 0.000
0.500 0.500 0.500
0.000 0.000 0.675
0.500 0.500 0.175
0.000 0.000 0.338
0.500 0.500 0.838
```



Entry 17:
Compound: CdAg2Pt
Source: Alexandria via LeMat-Bulk
Functional: GGA-PBEsol
Structure: optimized geometry

## Properties
calculated total energy: -3.762 eV per atom
DOS(E_F): 2.509 states/eV per cell
space-group type: Cmmm
spin magnetization: 0.000 μB/f.u.

The structure in POSCAR format:
```
CdAg2Pt
1.0
5.649 0.000 0.000
0.000 8.171 0.000
0.000 0.000 2.876
Cd Ag Pt
2 4 2
direct
0.000 0.000 0.000
0.500 0.500 0.000
0.250 0.250 0.500
0.250 0.750 0.500
0.750 0.250 0.500
0.750 0.750 0.500
0.000 0.500 0.000
0.500 0.000 0.000
```



Entry 18:
Compound: RbCd2Ag2
Source: Alexandria via LeMat-Bulk
Functional: GGA-PBEsol
Structure: optimized geometry

## Properties
calculated total energy: -1.979 eV per atom
DOS(E_F): 3.816 states/eV per cell
excess energy over the best structure of this formula in the dataset: 0 meV/atom
space-group type: P4/mbm
spin magnetization: 0.000 μB/f.u.

The structure in POSCAR format:
```
RbCd2Ag2
1.0
8.707 0.000 0.000
0.000 8.707 0.000
0.000 0.000 2.965
Rb Cd Ag
2 4 4
direct
0.000 0.000 0.000
0.500 0.500 0.000
0.122 0.378 0.000
0.378 0.878 0.000
0.622 0.122 0.000
0.878 0.622 0.000
0.173 0.673 0.500
0.327 0.173 0.500
0.673 0.827 0.500
0.827 0.327 0.500
```



Entry 19:
Compound: RbCd2Ag2
Source: Alexandria via LeMat-Bulk
Functional: GGA-PBEsol
Structure: optimized geometry

## Properties
calculated total energy: -1.935 eV per atom
DOS(E_F): 4.029 states/eV per cell
excess energy over the best structure of this formula in the dataset: 45 meV/atom
space-group type: I4/mmm
spin magnetization: 0.000 μB/f.u.

The structure in POSCAR format:
```
RbCd2Ag2
1.0
4.970 0.000 0.000
0.000 4.970 0.000
0.000 0.000 10.658
Rb Cd Ag
2 4 4
direct
0.000 0.000 0.000
0.500 0.500 0.500
0.000 0.000 0.366
0.000 0.000 0.634
0.500 0.500 0.134
0.500 0.500 0.866
0.000 0.500 0.250
0.000 0.500 0.750
0.500 0.000 0.250
0.500 0.000 0.750
```



Entry 20:
Compound: Cd2ReAg
Source: Alexandria via LeMat-Bulk
Functional: GGA-PBEsol
Structure: optimized geometry

## Properties
calculated total energy: -4.170 eV per atom
DOS(E_F): 4.537 states/eV per cell
excess energy over the best structure of this formula in the dataset: 0 meV/atom
space-group type: Immm
spin magnetization: 0.000 μB/f.u.

The structure in POSCAR format:
```
Cd2ReAg
1.0
2.866 0.000 0.000
0.000 4.957 0.000
0.000 0.000 9.666
Cd Re Ag
4 2 2
direct
0.000 0.000 0.246
0.000 0.000 0.754
0.500 0.500 0.254
0.500 0.500 0.746
0.000 0.500 0.000
0.500 0.000 0.500
0.000 0.500 0.500
0.500 0.000 0.000
```